Cr2NiMo | PBE | optimized geometry

Unit cell a=2.4989 b=4.1659 c=4.9061 alpha=90.00 beta=98.76 gamma=90.00
With the nearest neighbours (Å) after each atom.
Fractional positions:
Cr (0.2064, 0.0000, 0.2370)  3 Cr 2.40-2.50, 2 Mo 2.54, 2 Ni 2.55
Cr (0.7936, 0.0000, 0.7630)  3 Cr 2.40-2.50, 2 Mo 2.54, 2 Ni 2.55
Ni (0.5000, 0.5000, 0.0000)  2 Ni 2.50, 4 Cr 2.55, 2 Mo 2.58
Mo (0.0000, 0.5000, 0.5000)  2 Mo 2.50, 4 Cr 2.54, 2 Ni 2.58

Results
Symmetry: P2/m
DOS at the Fermi energy in states/eV/f.u.: 4.7
Calculated density in Mg/m³: 8.51
Magnetization in μB/f.u.: 0.0
Uncorrected energy in eV/atom: -8.802

Th2HBr3 | PBE | optimized geometry

Unit cell a=9.2207 b=9.2207 c=11.8366 alpha=119.75 beta=119.75 gamma=23.05
With the nearest neighbours (Å) after each atom.
Fractional positions:
Th (0.0674, 0.0674, 0.4446)  2 H 2.31-2.39
Th (0.3629, 0.3629, 0.1991)  2 H 2.37
Th (0.6371, 0.6371, 0.8009)  2 H 2.37
Th (0.9326, 0.9326, 0.5554)  2 H 2.31-2.39
H (0.0802, 0.0802, 0.6556)  4 Th 2.31-2.39
H (0.9198, 0.9198, 0.3444)  4 Th 2.31-2.39
Br (0.1650, 0.1650, 0.0254)  3 Th 3.06-3.09
Br (0.2839, 0.2839, 0.3794)  3 Th 3.05-3.11, 2 H 3.26
Br (0.4611, 0.4611, 0.7772)  3 Th 3.03-3.05
Br (0.5389, 0.5389, 0.2228)  3 Th 3.03-3.05
Br (0.7161, 0.7161, 0.6206)  3 Th 3.05-3.11, 2 H 3.26
Br (0.8350, 0.8350, 0.9746)  3 Th 3.06-3.09

Results
Symmetry: C2/m
DOS at the Fermi energy in states/eV/f.u.: 3.4
Calculated density in Mg/m³: 6.89
Magnetization in μB/f.u.: 0.2
Uncorrected energy in eV/atom: -4.952

LiPaTlS4 | PBE | optimized geometry

Unit cell a=6.9635 b=5.3201 c=9.3502 alpha=90.00 beta=108.84 gamma=90.00
With the nearest neighbours (Å) after each atom.
Fractional positions:
Li (0.2429, 0.2500, 0.2969)  4 S 2.33-2.44
Li (0.7571, 0.7500, 0.7031)  4 S 2.33-2.44
Pa (0.2665, 0.7500, 0.5594)  8 S 2.60-2.87
Pa (0.7335, 0.2500, 0.4406)  8 S 2.60-2.87
Tl (0.2673, 0.7500, 0.0366)  3 S 2.99-3.09
Tl (0.7327, 0.2500, 0.9634)  3 S 2.99-3.09
S (0.0228, 0.0155, 0.6887)  1 Li 2.37, 1 S 2.49
S (0.0228, 0.4845, 0.6887)  1 Li 2.37, 1 S 2.49
S (0.4257, 0.2500, 0.5678)  1 Li 2.44
S (0.4779, 0.2500, 0.1667)  1 Li 2.33, 1 Pa 2.60
S (0.5221, 0.7500, 0.8333)  1 Li 2.33, 1 Pa 2.60
S (0.5743, 0.7500, 0.4322)  1 Li 2.44
S (0.9772, 0.5155, 0.3113)  1 Li 2.37, 1 S 2.49
S (0.9772, 0.9845, 0.3113)  1 Li 2.37, 1 S 2.49

Results
Symmetry: P2_1/m
DOS at the Fermi energy in states/eV/f.u.: 1.5
Calculated density in Mg/m³: 5.78
Raw formation energy in eV per atom: -1.120
Magnetization in μB/f.u.: 0.0

Sr2Cd5InAg2 | PBE | optimized geometry

Unit cell a=10.6757 b=10.6757 c=4.5585 alpha=90.00 beta=90.00 gamma=90.00
With the nearest neighbours (Å) after each atom.
Fractional positions:
Sr (0.1824, 0.3176, 0.0000)  3 Ag 3.10-3.24
Sr (0.3176, 0.8176, 0.0000)  3 Ag 3.10-3.24
Sr (0.6824, 0.1824, 0.0000)  3 Ag 3.10-3.24
Sr (0.8176, 0.6824, 0.0000)  3 Ag 3.10-3.24
Cd (0.0000, 0.5000, 0.5000)  4 Ag 2.84, 4 Cd 3.18
Cd (0.0569, 0.7923, 0.5000)  2 Ag 3.04, 3 Cd 3.18-3.25, 2 In 3.24
Cd (0.2077, 0.0569, 0.5000)  2 Ag 3.04, 3 Cd 3.18-3.25, 2 In 3.24
Cd (0.2923, 0.5569, 0.5000)  2 Ag 3.04, 3 Cd 3.18-3.25, 2 In 3.24
Cd (0.4431, 0.2923, 0.5000)  2 Ag 3.04, 3 Cd 3.18-3.25, 2 In 3.24
Cd (0.5000, 0.0000, 0.5000)  4 Ag 2.84, 4 Cd 3.18
Cd (0.5569, 0.7077, 0.5000)  2 Ag 3.04, 3 Cd 3.18-3.25, 2 In 3.24
Cd (0.7077, 0.4431, 0.5000)  2 Ag 3.04, 3 Cd 3.18-3.25, 2 In 3.24
Cd (0.7923, 0.9431, 0.5000)  2 Ag 3.04, 3 Cd 3.18-3.25, 2 In 3.24
Cd (0.9431, 0.2077, 0.5000)  2 Ag 3.04, 3 Cd 3.18-3.25, 2 In 3.24
In (0.0000, 0.0000, 0.0000)  8 Cd 3.24
In (0.5000, 0.5000, 0.0000)  8 Cd 3.24
Ag (0.1125, 0.6125, 0.0000)  6 Cd 2.84-3.04, 1 Sr 3.10
Ag (0.3875, 0.1125, 0.0000)  6 Cd 2.84-3.04, 1 Sr 3.10
Ag (0.6125, 0.8875, 0.0000)  6 Cd 2.84-3.04, 1 Sr 3.10
Ag (0.8875, 0.3875, 0.0000)  6 Cd 2.84-3.04, 1 Sr 3.10

Results
Symmetry: P4/mbm
DOS at the Fermi energy in states/eV/f.u.: 5.6
Calculated density in Mg/m³: 6.83
Magnetization in μB/f.u.: 0.0
Uncorrected energy in eV/atom: -1.857

Q: Which of these has the lowest calculated density?
A: LiPaTlS4

Repeat the first record exactly.
Cr2NiMo | PBE | optimized geometry

Unit cell a=2.4989 b=4.1659 c=4.9061 alpha=90.00 beta=98.76 gamma=90.00
With the nearest neighbours (Å) after each atom.
Fractional positions:
Cr (0.2064, 0.0000, 0.2370)  3 Cr 2.40-2.50, 2 Mo 2.54, 2 Ni 2.55
Cr (0.7936, 0.0000, 0.7630)  3 Cr 2.40-2.50, 2 Mo 2.54, 2 Ni 2.55
Ni (0.5000, 0.5000, 0.0000)  2 Ni 2.50, 4 Cr 2.55, 2 Mo 2.58
Mo (0.0000, 0.5000, 0.5000)  2 Mo 2.50, 4 Cr 2.54, 2 Ni 2.58

Results
Symmetry: P2/m
DOS at the Fermi energy in states/eV/f.u.: 4.7
Calculated density in Mg/m³: 8.51
Magnetization in μB/f.u.: 0.0
Uncorrected energy in eV/atom: -8.802

Q: magnetization of number 1 (Cr2NiMo)?
A: 0.0 μB/f.u.

Q: Which value of calculated density does entry 3 give?
A: 5.78 Mg/m³